[1]
Density functional theory data (GGA-PBE) for Th4Bi3Ru after structural relaxation. Values from VASP.

## Properties
The calculation puts the formation enthalpy at 0 K at -0.558 eV per atom. As for the space group: P2/c, No. 13. Its density of states at the Fermi level is 12.87 states/eV/cell. As for the raw total energy: -110.122 eV per cell.

The structure in Quantum ESPRESSO input format:
```
&SYSTEM
  ibrav = 0, nat = 16, ntyp = 3
/
ATOMIC_SPECIES
Ru 101.07 Ru.upf
Bi 208.98 Bi.upf
Th 232.04 Th.upf
ATOMIC_POSITIONS crystal
Ru 0.750 0.000 0.882
Ru 0.250 0.000 0.118
Bi 0.750 0.000 0.382
Bi 0.250 0.000 0.618
Bi 0.750 0.500 0.612
Bi 0.750 0.500 0.121
Bi 0.250 0.500 0.388
Bi 0.250 0.500 0.879
Th 0.972 0.229 0.657
Th 0.513 0.209 0.890
Th 0.472 0.229 0.343
Th 0.013 0.209 0.110
Th 0.987 0.791 0.890
Th 0.528 0.771 0.657
Th 0.487 0.791 0.110
Th 0.028 0.771 0.343
CELL_PARAMETERS angstrom
7.566 0.021 0.000
-2.631 7.564 0.000
0.000 0.000 9.090
```

[2]
Density functional theory data (GGA-PBE) for Th4BiRu2 after structural relaxation. Values from VASP.

## Properties
The calculation puts the formation enthalpy at 0 K at -0.391 eV per atom. As for the space group: I-4, No. 82. Its density of states at the Fermi level is 13.59 states/eV/cell. For the energy above the most stable polymorph in this dataset, the calculation gives 122 meV per atom. As for the raw total energy: -109.692 eV per cell.

The structure in Quantum ESPRESSO input format:
```
&SYSTEM
  ibrav = 0, nat = 14, ntyp = 3
/
ATOMIC_SPECIES
Th 232.04 Th.upf
Bi 208.98 Bi.upf
Ru 101.07 Ru.upf
ATOMIC_POSITIONS crystal
Th 0.976 0.231 0.387
Th 0.404 0.519 0.244
Th 0.844 0.589 0.613
Th 0.769 0.155 0.744
Th 0.411 0.024 0.256
Th 0.275 0.160 0.756
Th 0.482 0.726 0.886
Th 0.840 0.595 0.114
Bi 0.250 0.750 0.500
Bi 0.000 0.000 0.000
Ru 0.521 0.375 0.646
Ru 0.729 0.875 0.354
Ru 0.625 0.271 0.146
Ru 0.125 0.479 0.854
CELL_PARAMETERS angstrom
7.921 -1.282 -0.179
-1.849 7.808 0.177
-2.904 -3.384 6.676
```

[3]
Density functional theory data (GGA-PBE) for Th12BiRu6 after structural relaxation. Values from VASP.

## Properties
The calculation puts the formation enthalpy at 0 K at -0.330 eV per atom. As for the space group: Im-3, No. 204. Its density of states at the Fermi level is 25.47 states/eV/cell. As for the raw total energy: -154.851 eV per cell.

The structure in Quantum ESPRESSO input format:
```
&SYSTEM
  ibrav = 0, nat = 19, ntyp = 3
/
ATOMIC_SPECIES
Th 232.04 Th.upf
Bi 208.98 Bi.upf
Ru 101.07 Ru.upf
ATOMIC_POSITIONS crystal
Th 0.312 0.133 0.821
Th 0.312 0.491 0.179
Th 0.688 0.509 0.821
Th 0.688 0.867 0.179
Th 0.133 0.821 0.312
Th 0.491 0.179 0.312
Th 0.509 0.821 0.688
Th 0.867 0.179 0.688
Th 0.821 0.312 0.133
Th 0.179 0.312 0.491
Th 0.821 0.688 0.509
Th 0.179 0.688 0.867
Bi 0.000 0.000 0.000
Ru 0.358 0.500 0.858
Ru 0.642 0.500 0.142
Ru 0.500 0.858 0.358
Ru 0.500 0.142 0.642
Ru 0.858 0.358 0.500
Ru 0.142 0.642 0.500
CELL_PARAMETERS angstrom
8.348 0.000 -2.951
-4.174 7.229 -2.951
0.000 0.000 8.854
```

[4]
Density functional theory data (GGA-PBE) for Th6BiRu after structural relaxation. Values from VASP.

## Properties
The calculation puts the formation enthalpy at 0 K at -0.046 eV per atom. As for the space group: R-3m, No. 166. Its density of states at the Fermi level is 11.93 states/eV/cell. As for the raw total energy: -58.044 eV per cell.

The structure in Quantum ESPRESSO input format:
```
&SYSTEM
  ibrav = 0, nat = 8, ntyp = 3
/
ATOMIC_SPECIES
Th 232.04 Th.upf
Bi 208.98 Bi.upf
Ru 101.07 Ru.upf
ATOMIC_POSITIONS crystal
Th 0.201 0.201 0.596
Th 0.596 0.201 0.201
Th 0.799 0.799 0.404
Th 0.799 0.404 0.799
Th 0.404 0.799 0.799
Th 0.201 0.596 0.201
Bi 0.000 0.000 0.000
Ru 0.500 0.500 0.500
CELL_PARAMETERS angstrom
-0.950 0.332 -6.468
-2.674 -5.792 1.465
-4.509 4.179 2.246
```